1.
An optimized crystal structure of Tb3Er3Tm. Source: Alexandria, functional GGA-PBE.

Calculated values
Polymorph energy (0 for the lowest one)   0.000 eV/atom
Space-group type   P6_3/m

a b c (Å): 5.607 9.490 9.492
angles (deg): 120.01 90.00 90.00
Fractional positions:
1 Tb 0.750 0.760 0.808
2 Tb 0.750 0.048 0.240
3 Tb 0.750 0.192 0.952
4 Tb 0.250 0.240 0.192
5 Tb 0.250 0.952 0.760
6 Tb 0.250 0.808 0.048
7 Er 0.250 0.524 0.618
8 Er 0.250 0.095 0.476
9 Er 0.250 0.382 0.905
10 Er 0.750 0.476 0.382
11 Er 0.750 0.905 0.524
12 Er 0.750 0.618 0.095
13 Tm 0.750 0.333 0.667
14 Tm 0.250 0.667 0.333

=====

2.
An optimized crystal structure of Ho2BeFe5B2. Source: Alexandria, functional GGA-PBE.

Calculated values
Space-group type   P4/mbm

a b c (Å): 3.135 8.806 8.806
angles (deg): 90.00 90.00 90.00
Last column: magnetic moment on the atom in μB.
Fractional positions:
1 Ho 0.000 0.676 0.176  -0.32
2 Ho 0.000 0.324 0.824  -0.32
3 Ho 0.000 0.176 0.324  -0.32
4 Ho 0.000 0.824 0.676  -0.32
5 Be 0.000 0.000 0.000  -0.05
6 Be 0.000 0.500 0.500  -0.05
7 Fe 0.500 0.214 0.066  1.67
8 Fe 0.500 0.786 0.934  1.67
9 Fe 0.500 0.066 0.786  1.67
10 Fe 0.500 0.714 0.434  1.67
11 Fe 0.500 0.934 0.214  1.67
12 Fe 0.500 0.286 0.566  1.67
13 Fe 0.500 0.566 0.714  1.67
14 Fe 0.500 0.434 0.286  1.67
15 Fe 0.500 0.500 0.000  1.10
16 Fe 0.500 0.000 0.500  1.10
17 B 0.000 0.121 0.621  -0.12
18 B 0.000 0.879 0.379  -0.12
19 B 0.000 0.621 0.879  -0.12
20 B 0.000 0.379 0.121  -0.12

=====

3.
An optimized crystal structure of Tm12Al7Si. Source: Alexandria, functional GGA-PBE.

Calculated values
Uncorrected formation energy   -0.38 eV per atom
Space-group type   I4/mcm

a b c (Å): 11.072 11.072 11.072
angles (deg): 117.54 117.54 94.31
Fractional positions:
1 Tm 0.147 0.647 0.500
2 Tm 0.853 0.353 0.500
3 Tm 0.647 0.147 0.500
4 Tm 0.353 0.853 0.500
5 Tm 0.838 0.701 0.264
6 Tm 0.162 0.299 0.736
7 Tm 0.436 0.574 0.736
8 Tm 0.701 0.436 0.863
9 Tm 0.064 0.799 0.137
10 Tm 0.564 0.426 0.264
11 Tm 0.299 0.564 0.137
12 Tm 0.936 0.201 0.863
13 Tm 0.574 0.838 0.137
14 Tm 0.662 0.926 0.863
15 Tm 0.426 0.162 0.863
16 Tm 0.338 0.074 0.137
17 Tm 0.926 0.064 0.264
18 Tm 0.074 0.936 0.736
19 Tm 0.799 0.662 0.736
20 Tm 0.201 0.338 0.264
21 Tm 0.172 0.672 0.843
22 Tm 0.828 0.328 0.157
23 Tm 0.672 0.828 0.500
24 Tm 0.328 0.172 0.500
25 Al 0.619 0.119 0.738
26 Al 0.381 0.881 0.262
27 Al 0.119 0.381 0.500
28 Al 0.881 0.619 0.500
29 Al 0.500 0.500 0.000
30 Al 0.000 0.000 0.000
31 Al 0.381 0.881 0.856
32 Al 0.619 0.119 0.144
33 Al 0.025 0.525 0.144
34 Al 0.881 0.025 0.500
35 Al 0.475 0.619 0.500
36 Al 0.975 0.475 0.856
37 Al 0.119 0.975 0.500
38 Al 0.525 0.381 0.500
39 Si 0.750 0.750 0.000
40 Si 0.250 0.250 0.000

=====

no.,spin magnetization (Bohr magnetons per cell),total DFT energy (no corrections) (eV/f.u.)
1,0.01,-32.00
2,13.69,-69.51
3,0.00,-92.96